Entry 1:
The following is a DFT calculation (PBE) of a relaxed structure of SrZnIn2Br6.

Values from the calculation:
Energy   -29.333 eV/f.u.
DOS at the Fermi energy   0.000 states/eV/atom
Formation energy from raw total energies   -1.086 eV per atom
Total magnetization   0.000 μB/atom

Cell lengths 7.8690, 7.8690, 19.2720 Å; angles 90.00, 90.00, 120.00 degrees
With the nearest neighbours (Å) after each atom.
Space group R3 (No. 146, hexagonal axes)
Asymmetric unit:
Sr  0.0000  0.0000  0.0000  6 Br 3.02-3.09
Zn  0.0000  0.0000  0.4982  6 Br 2.61-2.73
In  0.0000  0.0000  0.2208  6 Br 3.34-3.47
In  0.0000  0.0000  0.7135  6 Br 3.25-3.42
Br  0.0353  0.6022  0.2532  1 Zn 2.73, 1 Sr 3.02
Br  0.0935  0.3522  0.0951  1 Zn 2.61

---

Entry 2:
The following is a DFT calculation (PBE) of a relaxed structure of TaIn3Br8.

Values from the calculation:
Energy   -42.638 eV/f.u.
Formation energy from raw total energies   -0.766 eV per atom
Total magnetization   0.000 μB/atom

Cell lengths 9.2997, 9.2997, 11.7382 Å; angles 90.00, 90.00, 120.00 degrees
With the nearest neighbours (Å) after each atom.
Space group P6_3mc (No. 186)
Asymmetric unit:
Ta  0.3333  0.6667  0.0000  6 Br 2.54-2.55
In  0.1565  0.3131  0.4924  6 Br 3.04-3.38
Br  0.0000  0.0000  0.3250  3 In 3.20
Br  0.0744  0.5372  0.8765  1 Ta 2.54
Br  0.2038  0.4076  0.1256  1 Ta 2.55
Br  0.3333  0.6667  0.5827  3 In 3.04

---

Entry 3:
The following is a DFT calculation (PBE) of a relaxed structure of TaInBr5.

Values from the calculation:
Energy   -28.250 eV/f.u.
DOS at the Fermi energy   0.550 states/eV/atom
Formation energy from raw total energies   -0.756 eV per atom
Total magnetization   0.143 μB/atom

Cell lengths 8.4179, 12.5013, 9.6439 Å; angles 90.00, 105.41, 90.00 degrees
With the nearest neighbours (Å) after each atom.
Space group Cc (No. 9)
Asymmetric unit:
Ta  0.0000  0.0003  0.0000  6 Br 2.53-2.64
In  0.0021  0.3969  0.2434  5 Br 3.19-3.54
Br  0.1165  0.1750  0.6131  1 Ta 2.53
Br  0.2034  0.4288  0.9673  1 Ta 2.59
Br  0.2949  0.0725  0.0302  1 Ta 2.58
Br  0.3832  0.3237  0.3875  1 Ta 2.53
Br  0.4987  0.4140  0.7498  2 Ta 2.64